(1)
{"formula": "Pr3NiPd", "functional": "GGA-PBE", "state": "optimized geometry", "lattice": [[8.990, 0.000, 0.000], [0.000, 7.484, 0.000], [-2.061, 0.000, 8.028]], "species": ["Pr", "Pr", "Pr", "Pr", "Pr", "Pr", "Pr", "Pr", "Pr", "Pr", "Pr", "Pr", "Ni", "Ni", "Ni", "Ni", "Pd", "Pd", "Pd", "Pd"], "frac_coords": [[0.050, 0.013, 0.219], [0.050, 0.487, 0.719], [0.281, 0.652, 0.113], [0.281, 0.848, 0.613], [0.348, 0.182, 0.998], [0.348, 0.318, 0.498], [0.652, 0.682, 0.502], [0.652, 0.818, 0.002], [0.719, 0.152, 0.387], [0.719, 0.348, 0.887], [0.950, 0.513, 0.281], [0.950, 0.987, 0.781], [0.060, 0.168, 0.529], [0.060, 0.332, 0.029], [0.940, 0.668, 0.971], [0.940, 0.832, 0.471], [0.416, 0.536, 0.822], [0.416, 0.964, 0.322], [0.584, 0.036, 0.678], [0.584, 0.464, 0.178]], "formation_enthalpy_0k_ev_per_atom": -0.416, "n_ef_per_ev_atom": 0.951}


(2)
{"formula": "Pr3Ni7Pd2", "functional": "GGA-PBE", "state": "optimized geometry", "lattice": [[2.574, 1.486, 8.511], [-2.574, 1.486, 8.511], [0.000, -2.972, 8.511]], "species": ["Pr", "Pr", "Pr", "Ni", "Ni", "Ni", "Ni", "Ni", "Ni", "Ni", "Pd", "Pd"], "frac_coords": [[0.000, 0.000, 0.000], [0.139, 0.139, 0.139], [0.861, 0.861, 0.861], [0.087, 0.585, 0.585], [0.415, 0.415, 0.913], [0.415, 0.913, 0.415], [0.500, 0.500, 0.500], [0.585, 0.087, 0.585], [0.585, 0.585, 0.087], [0.913, 0.415, 0.415], [0.332, 0.332, 0.332], [0.668, 0.668, 0.668]], "formation_enthalpy_0k_ev_per_atom": -0.363, "n_ef_per_ev_atom": 1.100}


(3)
{"formula": "Pr2NiPd", "functional": "GGA-PBE", "state": "optimized geometry", "lattice": [[0.000, 3.599, 3.599], [3.599, 0.000, 3.599], [3.599, 3.599, 0.000]], "species": ["Pr", "Pr", "Ni", "Pd"], "frac_coords": [[0.250, 0.250, 0.250], [0.750, 0.750, 0.750], [0.000, 0.000, 0.000], [0.500, 0.500, 0.500]], "formation_enthalpy_0k_ev_per_atom": -0.433, "n_ef_per_ev_atom": 1.097}


(4)
{"formula": "Pr8NiPd2", "functional": "GGA-PBE", "state": "optimized geometry", "lattice": [[9.332, -2.630, 0.000], [9.332, 2.630, 0.000], [-2.174, 0.000, 6.526]], "species": ["Pr", "Pr", "Pr", "Pr", "Pr", "Pr", "Pr", "Pr", "Ni", "Pd", "Pd"], "frac_coords": [[0.027, 0.027, 0.296], [0.202, 0.202, 0.842], [0.329, 0.329, 0.498], [0.410, 0.410, 0.043], [0.590, 0.590, 0.957], [0.671, 0.671, 0.502], [0.798, 0.798, 0.158], [0.973, 0.973, 0.704], [0.500, 0.500, 0.500], [0.172, 0.172, 0.239], [0.828, 0.828, 0.761]], "formation_enthalpy_0k_ev_per_atom": -0.285, "n_ef_per_ev_atom": 1.085}


(5)
{"formula": "Pr6Ni2Pd", "functional": "GGA-PBE", "state": "optimized geometry", "lattice": [[-4.695, 5.081, 5.167], [4.695, -5.081, 5.167], [4.695, 5.081, -5.167]], "species": ["Pr", "Pr", "Pr", "Pr", "Pr", "Pr", "Pr", "Pr", "Pr", "Pr", "Pr", "Pr", "Ni", "Ni", "Ni", "Ni", "Pd", "Pd"], "frac_coords": [[0.015, 0.213, 0.802], [0.177, 0.299, 0.476], [0.177, 0.701, 0.878], [0.330, 0.037, 0.707], [0.330, 0.623, 0.293], [0.411, 0.213, 0.198], [0.589, 0.787, 0.802], [0.670, 0.377, 0.707], [0.670, 0.963, 0.293], [0.823, 0.299, 0.122], [0.823, 0.701, 0.524], [0.985, 0.787, 0.198], [0.130, 0.630, 0.500], [0.368, 0.000, 0.368], [0.632, 0.000, 0.632], [0.870, 0.370, 0.500], [0.000, 0.000, 0.000], [0.500, 0.500, 0.000]], "formation_enthalpy_0k_ev_per_atom": -0.286, "n_ef_per_ev_atom": 0.881}


(6)
{"formula": "Pr2NiPd", "functional": "GGA-PBE", "state": "optimized geometry", "lattice": [[2.067, 1.194, 6.895], [-2.067, 1.194, 6.895], [0.000, -2.387, 6.895]], "species": ["Pr", "Pr", "Ni", "Pd"], "frac_coords": [[0.246, 0.246, 0.246], [0.754, 0.754, 0.754], [0.500, 0.500, 0.500], [0.000, 0.000, 0.000]], "formation_enthalpy_0k_ev_per_atom": -0.394, "n_ef_per_ev_atom": 0.535}


(7)
{"formula": "Pr2NiPd", "functional": "GGA-PBE", "state": "optimized geometry", "lattice": [[3.692, -2.137, 0.000], [3.692, 2.137, 0.000], [-2.467, 0.000, 6.967]], "species": ["Pr", "Pr", "Ni", "Pd"], "frac_coords": [[0.000, 0.000, 0.000], [0.177, 0.177, 0.529], [0.756, 0.756, 0.265], [0.422, 0.422, 0.264]], "formation_enthalpy_0k_ev_per_atom": -0.351, "n_ef_per_ev_atom": 1.301}


(8)
{"formula": "Pr4NiPd3", "functional": "GGA-PBE", "state": "optimized geometry", "lattice": [[3.912, 0.000, 0.000], [0.000, 4.616, 0.000], [0.000, 0.000, 10.906]], "species": ["Pr", "Pr", "Pr", "Pr", "Ni", "Pd", "Pd", "Pd"], "frac_coords": [[0.000, 0.000, 0.000], [0.000, 0.500, 0.267], [0.500, 0.000, 0.487], [0.500, 0.500, 0.768], [0.500, 0.000, 0.212], [0.000, 0.000, 0.716], [0.000, 0.500, 0.546], [0.500, 0.500, 0.052]], "formation_enthalpy_0k_ev_per_atom": -0.655, "n_ef_per_ev_atom": 0.563}


(9)
{"formula": "Pr7Ni2Pd2", "functional": "GGA-PBE", "state": "optimized geometry", "lattice": [[3.837, -5.767, 0.000], [3.837, 5.767, 0.000], [0.000, 0.000, 7.052]], "species": ["Pr", "Pr", "Pr", "Pr", "Pr", "Pr", "Pr", "Ni", "Ni", "Pd", "Pd"], "frac_coords": [[0.000, 0.000, 0.000], [0.000, 0.500, 0.264], [0.000, 0.500, 0.736], [0.500, 0.000, 0.264], [0.500, 0.000, 0.736], [0.500, 0.500, 0.253], [0.500, 0.500, 0.747], [0.299, 0.701, 0.000], [0.701, 0.299, 0.000], [0.180, 0.180, 0.500], [0.820, 0.820, 0.500]], "formation_enthalpy_0k_ev_per_atom": -0.203, "n_ef_per_ev_atom": 0.980}


(10)
{"formula": "Pr2Ni9Pd", "functional": "GGA-PBE", "state": "optimized geometry", "lattice": [[2.488, 1.436, 8.122], [-2.488, 1.436, 8.122], [0.000, -2.873, 8.122]], "species": ["Pr", "Pr", "Ni", "Ni", "Ni", "Ni", "Ni", "Ni", "Ni", "Ni", "Ni", "Pd"], "frac_coords": [[0.132, 0.132, 0.132], [0.868, 0.868, 0.868], [0.080, 0.578, 0.578], [0.333, 0.333, 0.333], [0.422, 0.422, 0.920], [0.422, 0.920, 0.422], [0.500, 0.500, 0.500], [0.578, 0.080, 0.578], [0.578, 0.578, 0.080], [0.667, 0.667, 0.667], [0.920, 0.422, 0.422], [0.000, 0.000, 0.000]], "formation_enthalpy_0k_ev_per_atom": -0.103, "n_ef_per_ev_atom": 1.116}


(11)
{"formula": "Pr3NiPd", "functional": "GGA-PBE", "state": "optimized geometry", "lattice": [[8.373, 0.000, 0.000], [0.000, 3.975, 0.000], [-2.748, 0.000, 7.964]], "species": ["Pr", "Pr", "Pr", "Pr", "Pr", "Pr", "Ni", "Ni", "Pd", "Pd"], "frac_coords": [[0.060, 0.250, 0.235], [0.319, 0.250, 0.965], [0.350, 0.750, 0.601], [0.650, 0.250, 0.399], [0.681, 0.750, 0.035], [0.940, 0.750, 0.765], [0.069, 0.250, 0.579], [0.931, 0.750, 0.421], [0.349, 0.750, 0.239], [0.651, 0.250, 0.761]], "formation_enthalpy_0k_ev_per_atom": -0.409, "n_ef_per_ev_atom": 0.867}


(12)
{"formula": "Pr5Ni2Pd", "functional": "GGA-PBE", "state": "optimized geometry", "lattice": [[-3.912, 3.912, 6.818], [3.912, -3.912, 6.818], [3.912, 3.912, -6.818]], "species": ["Pr", "Pr", "Pr", "Pr", "Pr", "Pr", "Pr", "Pr", "Pr", "Pr", "Ni", "Ni", "Ni", "Ni", "Pd", "Pd"], "frac_coords": [[0.000, 0.000, 0.000], [0.026, 0.526, 0.830], [0.196, 0.026, 0.500], [0.304, 0.804, 0.830], [0.474, 0.304, 0.500], [0.500, 0.500, 0.000], [0.526, 0.696, 0.500], [0.696, 0.196, 0.170], [0.804, 0.974, 0.500], [0.974, 0.474, 0.170], [0.122, 0.378, 0.500], [0.378, 0.878, 0.256], [0.622, 0.122, 0.744], [0.878, 0.622, 0.500], [0.250, 0.250, 0.000], [0.750, 0.750, 0.000]], "formation_enthalpy_0k_ev_per_atom": -0.307, "n_ef_per_ev_atom": 1.170}


(13)
{"formula": "Pr2Ni3PdPt12", "functional": "GGA-PBE", "state": "optimized geometry", "lattice": [[4.077, 2.354, 6.316], [-4.077, 2.354, 6.316], [0.000, -4.708, 6.316]], "species": ["Pr", "Pr", "Ni", "Ni", "Ni", "Pd", "Pt", "Pt", "Pt", "Pt", "Pt", "Pt", "Pt", "Pt", "Pt", "Pt", "Pt", "Pt"], "frac_coords": [[0.113, 0.113, 0.113], [0.887, 0.887, 0.887], [0.000, 0.500, 0.500], [0.500, 0.000, 0.500], [0.500, 0.500, 0.000], [0.500, 0.500, 0.500], [0.114, 0.634, 0.634], [0.135, 0.135, 0.610], [0.135, 0.610, 0.135], [0.366, 0.366, 0.886], [0.366, 0.886, 0.366], [0.390, 0.865, 0.865], [0.610, 0.135, 0.135], [0.634, 0.114, 0.634], [0.634, 0.634, 0.114], [0.865, 0.390, 0.865], [0.865, 0.865, 0.390], [0.886, 0.366, 0.366]], "formation_enthalpy_0k_ev_per_atom": 0.086, "n_ef_per_ev_atom": 1.150}


(14)
{"formula": "Pr2Ni3Sb4Pd", "functional": "GGA-PBE", "state": "optimized geometry", "lattice": [[4.553, 0.000, 0.000], [0.000, 4.553, 0.000], [0.000, 0.000, 10.105]], "species": ["Pr", "Pr", "Ni", "Ni", "Ni", "Sb", "Sb", "Sb", "Sb", "Pd"], "frac_coords": [[0.000, 0.500, 0.245], [0.500, 0.000, 0.755], [0.000, 0.000, 0.000], [0.000, 0.500, 0.618], [0.500, 0.000, 0.382], [0.000, 0.000, 0.500], [0.000, 0.500, 0.866], [0.500, 0.000, 0.134], [0.500, 0.500, 0.500], [0.500, 0.500, 0.000]], "e_form_raw_kcal_per_mol_atoms": -16.08, "n_ef_per_ev_atom": 0.442}


(15)
{"formula": "PrSi2NiPd", "functional": "GGA-PBE", "state": "optimized geometry", "lattice": [[-2.087, 2.087, 4.921], [2.087, -2.087, 4.921], [2.087, 2.087, -4.921]], "species": ["Pr", "Si", "Si", "Ni", "Pd"], "frac_coords": [[0.000, 0.000, 0.000], [0.376, 0.376, 0.000], [0.624, 0.624, 0.000], [0.250, 0.750, 0.500], [0.750, 0.250, 0.500]], "e_form_raw_kcal_per_mol_atoms": -19.32, "n_ef_per_ev_atom": 0.551}


(16)
{"formula": "Pr2Si3Ni12Pd", "functional": "GGA-PBE", "state": "optimized geometry", "lattice": [[4.310, 2.488, 3.942], [-4.310, 2.488, 3.942], [0.000, -4.976, 3.942]], "species": ["Pr", "Pr", "Si", "Si", "Si", "Ni", "Ni", "Ni", "Ni", "Ni", "Ni", "Ni", "Ni", "Ni", "Ni", "Ni", "Ni", "Pd"], "frac_coords": [[0.156, 0.156, 0.156], [0.844, 0.844, 0.844], [0.000, 0.500, 0.500], [0.500, 0.000, 0.500], [0.500, 0.500, 0.000], [0.117, 0.117, 0.597], [0.117, 0.597, 0.117], [0.197, 0.688, 0.688], [0.312, 0.312, 0.803], [0.312, 0.803, 0.312], [0.403, 0.883, 0.883], [0.597, 0.117, 0.117], [0.688, 0.197, 0.688], [0.688, 0.688, 0.197], [0.803, 0.312, 0.312], [0.883, 0.403, 0.883], [0.883, 0.883, 0.403], [0.500, 0.500, 0.500]], "e_form_raw_kcal_per_mol_atoms": -0.46, "n_ef_per_ev_atom": 0.671}


(17)
{"formula": "Pr2Si3Ni4Pd", "functional": "GGA-PBE", "state": "optimized geometry", "lattice": [[4.078, 0.000, 0.000], [0.000, 4.078, 0.000], [0.000, 0.000, 9.836]], "species": ["Pr", "Pr", "Si", "Si", "Si", "Ni", "Ni", "Ni", "Ni", "Pd"], "frac_coords": [[0.000, 0.500, 0.249], [0.500, 0.000, 0.751], [0.000, 0.500, 0.883], [0.500, 0.000, 0.117], [0.500, 0.500, 0.500], [0.000, 0.000, 0.000], [0.000, 0.500, 0.645], [0.500, 0.000, 0.355], [0.500, 0.500, 0.000], [0.000, 0.000, 0.500]], "e_form_raw_kcal_per_mol_atoms": -15.60, "n_ef_per_ev_atom": 0.633}


(18)
{"formula": "Pr2Si4Ni3Pd", "functional": "GGA-PBE", "state": "optimized geometry", "lattice": [[4.108, 0.000, 0.000], [0.000, 4.108, 0.000], [0.000, 0.000, 9.736]], "species": ["Pr", "Pr", "Si", "Si", "Si", "Si", "Ni", "Ni", "Ni", "Pd"], "frac_coords": [[0.000, 0.500, 0.243], [0.500, 0.000, 0.757], [0.000, 0.000, 0.000], [0.000, 0.500, 0.636], [0.500, 0.000, 0.364], [0.500, 0.500, 0.000], [0.000, 0.500, 0.882], [0.500, 0.000, 0.118], [0.500, 0.500, 0.500], [0.000, 0.000, 0.500]], "e_form_raw_kcal_per_mol_atoms": -18.76, "n_ef_per_ev_atom": 0.685}


(19)
{"formula": "PrSmNiPd", "functional": "GGA-PBE", "state": "optimized geometry", "lattice": [[4.498, 0.000, 0.000], [0.000, 1.950, 5.314], [0.000, -1.950, 5.314]], "species": ["Pr", "Sm", "Ni", "Pd"], "frac_coords": [[0.000, 0.000, 0.000], [0.500, 0.277, 0.277], [0.000, 0.721, 0.721], [0.500, 0.564, 0.564]], "formation_enthalpy_0k_ev_per_atom": -0.555, "n_ef_per_ev_atom": 0.633}


(20)
{"formula": "PrNiSnPd", "functional": "GGA-PBE", "state": "optimized geometry", "lattice": [[0.000, 3.421, 3.421], [3.421, 0.000, 3.421], [3.421, 3.421, 0.000]], "species": ["Pr", "Ni", "Sn", "Pd"], "frac_coords": [[0.000, 0.000, 0.000], [0.750, 0.750, 0.750], [0.500, 0.500, 0.500], [0.250, 0.250, 0.250]], "formation_enthalpy_0k_ev_per_atom": -0.523, "n_ef_per_ev_atom": 1.035}


(21)
{"formula": "Pr2NiSn4Pd3", "functional": "GGA-PBE", "state": "optimized geometry", "lattice": [[4.551, 0.000, 0.000], [0.000, 4.551, 0.000], [0.000, 0.000, 10.817]], "species": ["Pr", "Pr", "Ni", "Sn", "Sn", "Sn", "Sn", "Pd", "Pd", "Pd"], "frac_coords": [[0.000, 0.500, 0.236], [0.500, 0.000, 0.764], [0.500, 0.500, 0.000], [0.000, 0.000, 0.500], [0.000, 0.500, 0.878], [0.500, 0.000, 0.122], [0.500, 0.500, 0.500], [0.000, 0.000, 0.000], [0.000, 0.500, 0.636], [0.500, 0.000, 0.364]], "formation_enthalpy_0k_ev_per_atom": -0.704, "n_ef_per_ev_atom": 0.534}


(22)
{"formula": "Pr2Ni3Sn4Pd", "functional": "GGA-PBE", "state": "optimized geometry", "lattice": [[4.511, 0.000, 0.000], [0.000, 4.511, 0.000], [0.000, 0.000, 10.294]], "species": ["Pr", "Pr", "Ni", "Ni", "Ni", "Sn", "Sn", "Sn", "Sn", "Pd"], "frac_coords": [[0.000, 0.500, 0.244], [0.500, 0.000, 0.756], [0.000, 0.000, 0.000], [0.000, 0.500, 0.623], [0.500, 0.000, 0.377], [0.000, 0.000, 0.500], [0.000, 0.500, 0.867], [0.500, 0.000, 0.133], [0.500, 0.500, 0.500], [0.500, 0.500, 0.000]], "formation_enthalpy_0k_ev_per_atom": -0.600, "n_ef_per_ev_atom": 0.531}